1.
! Mn2AgMo, single point on PBEsol structure, DFT meta-GGA SCAN; values from VASP
! - Formation energy from the elements: 0.13 eV/atom
! - Polymorph energy (0 for the lowest one): 0.00 kcal/mol of atoms
&SYSTEM
  ibrav = 0, nat = 4, ntyp = 3
/
ATOMIC_SPECIES
Mn 54.94 Mn.upf
Mo 95.94 Mo.upf
Ag 107.87 Ag.upf
ATOMIC_POSITIONS crystal
Mn 0.750 0.750 0.750
Mo 0.000 0.000 0.000
Mn 0.250 0.250 0.250
Ag 0.500 0.500 0.500
CELL_PARAMETERS angstrom
4.279 0.000 0.000
2.140 3.706 0.000
2.140 1.235 3.494

---

2.
! TcSnP2O, single point on PBEsol structure, DFT meta-GGA SCAN; values from VASP
! - Uncorrected formation energy: 819 meV per atom
&SYSTEM
  ibrav = 0, nat = 5, ntyp = 4
/
ATOMIC_SPECIES
P 30.97 P.upf
Tc 98.00 Tc.upf
O 16.00 O.upf
Sn 118.71 Sn.upf
ATOMIC_POSITIONS crystal
P 0.000 0.500 0.000
P 0.000 0.000 0.500
Tc 0.500 0.500 0.500
O 0.500 0.000 0.000
Sn 0.000 0.000 0.000
CELL_PARAMETERS angstrom
3.818 0.000 0.000
0.000 4.987 0.000
0.000 0.000 4.987

---

3.
! BaCu9Si4, single point on PBEsol structure, DFT meta-GGA SCAN; values from VASP
! - Uncorrected formation energy: -220 meV per atom
&SYSTEM
  ibrav = 0, nat = 28, ntyp = 3
/
ATOMIC_SPECIES
Cu 63.55 Cu.upf
Ba 137.33 Ba.upf
Si 28.09 Si.upf
ATOMIC_POSITIONS crystal
Cu 0.936 0.000 0.795
Cu 0.060 0.363 0.440
Ba 0.250 0.500 0.750
Cu 0.000 0.000 0.500
Si 0.208 0.768 0.292
Cu 0.205 0.000 0.936
Cu 0.197 0.637 0.060
Cu 0.940 0.637 0.560
Si 0.792 0.232 0.708
Si 0.940 0.232 0.208
Si 0.060 0.768 0.792
Ba 0.750 0.500 0.250
Cu 0.500 0.000 0.000
Cu 0.564 0.000 0.295
Cu 0.440 0.637 0.303
Cu 0.705 0.000 0.564
Cu 0.560 0.363 0.697
Cu 0.436 0.000 0.705
Cu 0.303 0.363 0.197
Cu 0.295 0.000 0.436
Cu 0.795 0.000 0.064
Si 0.440 0.232 0.060
Si 0.292 0.232 0.560
Cu 0.697 0.637 0.803
Cu 0.064 0.000 0.205
Cu 0.803 0.363 0.940
Si 0.560 0.768 0.940
Si 0.708 0.768 0.440
CELL_PARAMETERS angstrom
-3.548 -0.030 -7.288
-4.483 -1.222 6.696
-5.167 5.727 2.492

---

4.
! Ca2AlCd, single point on PBEsol structure, DFT meta-GGA SCAN; values from VASP
! - Formation energy from the elements: -0.31 eV/atom
&SYSTEM
  ibrav = 0, nat = 4, ntyp = 3
/
ATOMIC_SPECIES
Ca 40.08 Ca.upf
Al 26.98 Al.upf
Cd 112.41 Cd.upf
ATOMIC_POSITIONS crystal
Ca 0.000 0.000 0.102
Ca 0.000 0.500 0.652
Al 0.500 0.500 0.167
Cd 0.500 0.000 0.579
CELL_PARAMETERS angstrom
3.631 0.000 0.000
0.000 5.258 0.000
0.000 0.000 5.369

---

5.
! ZnNiIr2, single point on PBEsol structure, DFT meta-GGA SCAN; values from VASP
! - Formation energy from the elements: -0.06 eV/atom
&SYSTEM
  ibrav = 0, nat = 4, ntyp = 3
/
ATOMIC_SPECIES
Ir 192.22 Ir.upf
Ni 58.69 Ni.upf
Zn 65.41 Zn.upf
ATOMIC_POSITIONS crystal
Ir 0.000 0.000 0.009
Ir 0.500 0.500 0.251
Ni 0.000 0.000 0.503
Zn 0.500 0.500 0.737
CELL_PARAMETERS angstrom
2.687 0.000 0.000
0.000 3.728 0.000
0.000 0.000 5.215

---

6.
! Al3TlS, single point on PBEsol structure, DFT meta-GGA SCAN; values from VASP
! - Uncorrected formation energy: 851 meV per atom
&SYSTEM
  ibrav = 0, nat = 5, ntyp = 3
/
ATOMIC_SPECIES
Tl 204.38 Tl.upf
Al 26.98 Al.upf
S 32.06 S.upf
ATOMIC_POSITIONS crystal
Tl 0.000 0.000 0.000
Al 0.500 0.000 0.000
S 0.500 0.500 0.500
Al 0.000 0.000 0.500
Al 0.000 0.500 0.000
CELL_PARAMETERS angstrom
-4.840 0.577 -1.639
0.633 -3.933 -3.252
-1.618 -3.262 3.630

---

7.
! YTcTe2I, single point on PBEsol structure, DFT meta-GGA SCAN; values from VASP
! - Uncorrected formation energy: 303 meV per atom
&SYSTEM
  ibrav = 0, nat = 5, ntyp = 4
/
ATOMIC_SPECIES
Tc 98.00 Tc.upf
Te 127.60 Te.upf
I 126.90 I.upf
Y 88.91 Y.upf
ATOMIC_POSITIONS crystal
Tc 0.500 0.500 0.500
Te 0.000 0.000 0.500
Te 0.000 0.500 0.000
I 0.500 0.000 0.000
Y 0.000 0.000 0.000
CELL_PARAMETERS angstrom
5.699 0.000 0.000
0.000 5.782 0.000
0.000 0.000 5.782

---

8.
! Mn2InHO, single point on PBEsol structure, DFT meta-GGA SCAN; values from VASP
! - Electronic total energy: -80.681 eV/cell
&SYSTEM
  ibrav = 0, nat = 5, ntyp = 4
/
ATOMIC_SPECIES
Mn 54.94 Mn.upf
O 16.00 O.upf
In 114.82 In.upf
H 1.01 H.upf
ATOMIC_POSITIONS crystal
Mn 0.500 0.000 0.000
Mn 0.000 0.500 0.000
O 0.000 0.000 0.000
In 0.500 0.500 0.500
H 0.000 0.000 0.500
CELL_PARAMETERS angstrom
-0.408 3.203 -1.724
-3.607 -0.580 -0.224
-0.581 2.075 3.991

---

9.
! Mn2Co, single point on PBEsol structure, DFT meta-GGA SCAN; values from VASP
! - Formation energy from the elements: 0.08 eV/atom
&SYSTEM
  ibrav = 0, nat = 6, ntyp = 2
/
ATOMIC_SPECIES
Co 58.93 Co.upf
Mn 54.94 Mn.upf
ATOMIC_POSITIONS crystal
Co 0.667 0.333 0.750
Co 0.333 0.667 0.250
Mn 0.333 0.667 0.750
Mn 0.000 0.000 0.000
Mn 0.000 0.000 0.500
Mn 0.667 0.333 0.250
CELL_PARAMETERS angstrom
-1.801 -0.143 3.408
-0.044 -3.070 -2.334
4.041 -1.629 2.067

---

10.
! MnAlAg2, single point on PBEsol structure, DFT meta-GGA SCAN; values from VASP
! - Formation energy from the elements: -0.09 eV/atom
&SYSTEM
  ibrav = 0, nat = 4, ntyp = 3
/
ATOMIC_SPECIES
Al 26.98 Al.upf
Ag 107.87 Ag.upf
Mn 54.94 Mn.upf
ATOMIC_POSITIONS crystal
Al 0.824 0.000 0.525
Ag 0.071 0.000 0.012
Mn 0.420 0.500 0.719
Ag 0.685 0.500 0.244
CELL_PARAMETERS angstrom
-2.735 -0.600 -0.120
0.230 -0.209 -4.190
2.443 -4.842 0.376

---

11.
! SnHg2P, single point on PBEsol structure, DFT meta-GGA SCAN; values from VASP
! - Formation energy from the elements: 0.51 eV/atom
&SYSTEM
  ibrav = 0, nat = 4, ntyp = 3
/
ATOMIC_SPECIES
Hg 200.59 Hg.upf
Sn 118.71 Sn.upf
P 30.97 P.upf
ATOMIC_POSITIONS crystal
Hg 0.250 0.250 0.250
Hg 0.750 0.750 0.750
Sn 0.500 0.500 0.500
P 0.000 0.000 0.000
CELL_PARAMETERS angstrom
-3.807 -3.035 1.069
0.638 -4.942 -0.138
0.022 -2.629 4.235

---

12.
! LiZr2Ta, single point on PBEsol structure, DFT meta-GGA SCAN; values from VASP
! - Formation energy from the elements: 0.33 eV/atom
! - Polymorph energy (0 for the lowest one): 0.42 kcal/mol of atoms
&SYSTEM
  ibrav = 0, nat = 4, ntyp = 3
/
ATOMIC_SPECIES
Zr 91.22 Zr.upf
Ta 180.95 Ta.upf
Li 6.94 Li.upf
ATOMIC_POSITIONS crystal
Zr 0.000 0.000 0.986
Ta 0.500 0.500 0.738
Zr 0.500 0.500 0.265
Li 0.000 0.000 0.511
CELL_PARAMETERS angstrom
-0.687 1.959 2.217
-2.033 -2.739 1.790
5.284 -1.808 3.235

---

13.
! YRuSe2, single point on PBEsol structure, DFT meta-GGA SCAN; values from VASP
! - Uncorrected formation energy: -431 meV per atom
! - Polymorph energy (0 for the lowest one): 2.19 kcal/mol of atoms
&SYSTEM
  ibrav = 0, nat = 4, ntyp = 3
/
ATOMIC_SPECIES
Se 78.96 Se.upf
Y 88.91 Y.upf
Ru 101.07 Ru.upf
ATOMIC_POSITIONS crystal
Se 0.000 0.000 0.271
Y 0.500 0.500 0.000
Se 0.000 0.000 0.729
Ru 0.500 0.500 0.500
CELL_PARAMETERS angstrom
3.307 0.000 0.000
0.000 3.307 0.000
0.000 0.000 6.605

---

14.
! MnIrI2O, single point on PBEsol structure, DFT meta-GGA SCAN; values from VASP
! - Uncorrected formation energy: 366 meV per atom
&SYSTEM
  ibrav = 0, nat = 5, ntyp = 4
/
ATOMIC_SPECIES
O 16.00 O.upf
I 126.90 I.upf
Ir 192.22 Ir.upf
Mn 54.94 Mn.upf
ATOMIC_POSITIONS crystal
O 0.500 0.000 0.000
I 0.000 0.000 0.500
I 0.000 0.500 0.000
Ir 0.500 0.500 0.500
Mn 0.000 0.000 0.000
CELL_PARAMETERS angstrom
3.395 0.000 0.000
0.000 5.137 0.000
0.000 0.000 5.137

---

15.
! Y2Ga9Ru3, single point on PBEsol structure, DFT meta-GGA SCAN; values from VASP
! - Formation energy from the elements: -0.65 eV/atom
&SYSTEM
  ibrav = 0, nat = 28, ntyp = 3
/
ATOMIC_SPECIES
Ru 101.07 Ru.upf
Ga 69.72 Ga.upf
Y 88.91 Y.upf
ATOMIC_POSITIONS crystal
Ru 0.323 0.677 0.000
Ru 0.000 0.000 0.000
Ga 0.661 0.990 0.423
Ga 0.990 0.661 0.423
Ru 0.000 0.000 0.500
Ga 0.990 0.661 0.077
Ga 0.010 0.339 0.577
Ga 0.339 0.010 0.923
Y 0.002 0.324 0.250
Ga 0.134 0.134 0.750
Ru 0.323 0.677 0.500
Ru 0.677 0.323 0.500
Ga 0.339 0.010 0.577
Ga 0.341 0.556 0.750
Ga 0.662 0.662 0.561
Y 0.324 0.002 0.250
Y 0.676 0.998 0.750
Ga 0.338 0.338 0.439
Ga 0.659 0.444 0.250
Ga 0.661 0.990 0.077
Ga 0.444 0.659 0.250
Ga 0.010 0.339 0.923
Ga 0.556 0.341 0.750
Y 0.998 0.676 0.750
Ga 0.662 0.662 0.939
Ru 0.677 0.323 0.000
Ga 0.866 0.866 0.250
Ga 0.338 0.338 0.061
CELL_PARAMETERS angstrom
7.360 0.033 0.000
-3.579 6.431 0.000
0.000 0.000 9.571

---

16.
! KTl3, single point on PBEsol structure, DFT meta-GGA SCAN; values from VASP
! - Formation energy from the elements: -0.14 eV/atom
&SYSTEM
  ibrav = 0, nat = 4, ntyp = 2
/
ATOMIC_SPECIES
Tl 204.38 Tl.upf
K 39.10 K.upf
ATOMIC_POSITIONS crystal
Tl 0.500 0.000 0.500
Tl 0.696 0.500 0.284
Tl 0.304 0.500 0.716
K 0.000 0.000 0.000
CELL_PARAMETERS angstrom
-2.420 -2.415 -0.626
3.448 -2.956 -1.931
2.518 -1.517 6.822

---

17.
! Al2MoRu, single point on PBEsol structure, DFT meta-GGA SCAN; values from VASP
! - Formation energy from the elements: -0.26 eV/atom
! - Polymorph energy (0 for the lowest one): 2.97 kcal/mol of atoms
&SYSTEM
  ibrav = 0, nat = 4, ntyp = 3
/
ATOMIC_SPECIES
Al 26.98 Al.upf
Ru 101.07 Ru.upf
Mo 95.94 Mo.upf
ATOMIC_POSITIONS crystal
Al 0.153 0.000 0.006
Ru 0.095 0.500 0.746
Mo 0.467 0.000 0.527
Al 0.785 0.500 0.221
CELL_PARAMETERS angstrom
2.814 0.000 -0.097
0.000 4.252 0.000
-1.097 0.000 4.895

---

18.
! RbGePdF2, single point on PBEsol structure, DFT meta-GGA SCAN; values from VASP
! - Uncorrected formation energy: -1351 meV per atom
&SYSTEM
  ibrav = 0, nat = 5, ntyp = 4
/
ATOMIC_SPECIES
Ge 72.64 Ge.upf
F 19.00 F.upf
Rb 85.47 Rb.upf
Pd 106.42 Pd.upf
ATOMIC_POSITIONS crystal
Ge 0.000 0.000 0.000
F 0.000 0.500 0.000
F 0.500 0.000 0.000
Rb 0.500 0.500 0.500
Pd 0.000 0.000 0.500
CELL_PARAMETERS angstrom
4.436 0.000 0.000
0.000 4.436 0.000
0.000 0.000 4.767

---

19.
! Rb3DyF6, single point on PBEsol structure, DFT meta-GGA SCAN; values from VASP
! - Uncorrected formation energy: -3419 meV per atom
&SYSTEM
  ibrav = 0, nat = 10, ntyp = 3
/
ATOMIC_SPECIES
Rb 85.47 Rb.upf
F 19.00 F.upf
Dy 162.50 Dy.upf
ATOMIC_POSITIONS crystal
Rb 0.000 0.500 0.500
Rb 0.500 0.750 0.250
F 0.693 0.693 0.000
F 0.307 0.307 0.000
F 0.693 0.000 0.693
F 0.000 0.230 0.230
Dy 0.000 0.000 0.000
F 0.000 0.770 0.770
F 0.307 0.000 0.307
Rb 0.500 0.250 0.750
CELL_PARAMETERS angstrom
-0.120 3.389 -5.966
-3.923 -5.589 0.686
-2.771 2.975 5.528

---

20.
! Ca2BeSe, single point on PBEsol structure, DFT meta-GGA SCAN; values from VASP
! - Uncorrected formation energy: -572 meV per atom
! - Polymorph energy (0 for the lowest one): 2.02 kcal/mol of atoms
&SYSTEM
  ibrav = 0, nat = 4, ntyp = 3
/
ATOMIC_SPECIES
Ca 40.08 Ca.upf
Be 9.01 Be.upf
Se 78.96 Se.upf
ATOMIC_POSITIONS crystal
Ca 0.962 0.962 0.923
Be 0.794 0.294 0.589
Se 0.541 0.541 0.082
Ca 0.203 0.703 0.406
CELL_PARAMETERS angstrom
3.717 0.000 0.000
0.000 3.924 0.000
-1.859 -1.962 7.149

---

21.
! InP3Pb2O11, single point on PBEsol structure, DFT meta-GGA SCAN; values from VASP
! - Uncorrected formation energy: -2210 meV per atom
&SYSTEM
  ibrav = 0, nat = 68, ntyp = 4
/
ATOMIC_SPECIES
O 16.00 O.upf
P 30.97 P.upf
Pb 207.20 Pb.upf
In 114.82 In.upf
ATOMIC_POSITIONS crystal
O 0.429 0.320 0.749
O 0.421 0.637 0.421
O 0.999 0.542 0.626
O 0.571 0.688 0.049
P 0.408 0.529 0.227
O 0.268 0.167 0.591
O 0.279 0.992 0.965
O 0.079 0.137 0.079
O 0.232 0.667 0.909
O 0.365 0.226 0.474
O 0.501 0.042 0.874
Pb 0.602 0.027 0.269
P 0.159 0.641 0.590
O 0.135 0.726 0.026
O 0.016 0.149 0.703
O 0.921 0.863 0.921
Pb 0.095 0.876 0.424
O 0.732 0.833 0.409
P 0.363 0.301 0.546
O 0.429 0.312 0.951
O 0.358 0.682 0.639
In 0.325 0.368 0.379
O 0.071 0.820 0.751
O 0.254 0.595 0.162
O 0.754 0.905 0.662
O 0.858 0.818 0.139
P 0.592 0.471 0.773
O 0.246 0.095 0.338
O 0.229 0.983 0.220
P 0.092 0.029 0.273
P 0.841 0.359 0.410
Pb 0.405 0.376 0.076
O 0.984 0.851 0.297
In 0.175 0.868 0.121
O 0.142 0.182 0.861
O 0.929 0.180 0.249
P 0.341 0.141 0.910
O 0.746 0.405 0.838
O 0.721 0.008 0.035
O 0.635 0.774 0.526
P 0.908 0.971 0.727
O 0.571 0.680 0.251
O 0.516 0.351 0.203
O 0.779 0.508 0.465
Pb 0.398 0.973 0.731
O 0.579 0.363 0.579
O 0.484 0.649 0.797
In 0.675 0.632 0.621
O 0.768 0.333 0.091
Pb 0.905 0.124 0.576
O 0.929 0.188 0.451
O 0.865 0.274 0.974
O 0.001 0.458 0.374
Pb 0.595 0.624 0.924
O 0.071 0.812 0.549
O 0.771 0.017 0.780
P 0.637 0.699 0.454
O 0.642 0.318 0.361
O 0.221 0.492 0.535
Pb 0.898 0.527 0.231
Pb 0.102 0.473 0.769
O 0.499 0.958 0.126
In 0.825 0.132 0.879
P 0.659 0.859 0.090
P 0.863 0.199 0.046
O 0.271 0.483 0.280
P 0.137 0.801 0.954
O 0.729 0.517 0.720
CELL_PARAMETERS angstrom
-6.124 -2.011 1.552
1.215 -6.148 -3.172
9.772 -6.446 16.235

---

22.
! MgTlW, single point on PBEsol structure, DFT meta-GGA SCAN; values from VASP
! - Formation energy from the elements: 1.46 eV/atom
! - Polymorph energy (0 for the lowest one): 18.80 kcal/mol of atoms
&SYSTEM
  ibrav = 0, nat = 3, ntyp = 3
/
ATOMIC_SPECIES
Tl 204.38 Tl.upf
W 183.84 W.upf
Mg 24.30 Mg.upf
ATOMIC_POSITIONS crystal
Tl 0.000 0.000 0.000
W 0.500 0.500 0.500
Mg 0.750 0.750 0.750
CELL_PARAMETERS angstrom
4.530 0.000 0.000
2.265 3.923 0.000
2.265 1.308 3.699

---

23.
! CrAgW2, single point on PBEsol structure, DFT meta-GGA SCAN; values from VASP
! - Formation energy from the elements: 0.57 eV/atom
! - Polymorph energy (0 for the lowest one): 1.13 kcal/mol of atoms
&SYSTEM
  ibrav = 0, nat = 4, ntyp = 3
/
ATOMIC_SPECIES
Cr 52.00 Cr.upf
Ag 107.87 Ag.upf
W 183.84 W.upf
ATOMIC_POSITIONS crystal
Cr 0.000 0.500 0.000
Ag 0.500 0.000 0.000
W 0.270 0.270 0.541
W 0.730 0.730 0.459
CELL_PARAMETERS angstrom
3.194 0.000 0.000
0.000 4.338 0.000
-1.597 -2.169 4.264